(1)
VASP calculation (PBE) on a geometry-optimized Y3GeS2 structure.

Output
- mass density (Mg/m³) = 4.890
- space group = Immm, No. 71
- uncorrected formation energy (kcal/mol of atoms) = -39.2
- D(E_F) (states/eV per cell) = 1.716

Unit cell a=6.934 b=6.934 c=6.934 alpha=146.23 beta=131.73 gamma=60.21
Fractional positions:
Y 0.000 0.000 0.000
Y 0.333 0.333 0.000
Y 0.667 0.667 0.000
Ge 0.500 0.000 0.500
S 0.167 0.667 0.500
S 0.833 0.333 0.500



(2)
VASP calculation (PBE) on a geometry-optimized ZnGe2S4 structure.

Output
- mass density (Mg/m³) = 3.551
- space group = I4/m, No. 87
- uncorrected formation energy (kcal/mol of atoms) = -3.3
- D(E_F) (states/eV per cell) = 2.243

Unit cell a=5.919 b=5.919 c=5.919 alpha=106.83 beta=106.83 gamma=114.90
Fractional positions:
Zn 0.000 0.000 0.000
Ge 0.250 0.750 0.500
Ge 0.750 0.250 0.500
S 0.171 0.698 0.869
S 0.302 0.171 0.473
S 0.698 0.829 0.527
S 0.829 0.302 0.131



(3)
VASP calculation (PBE) on a geometry-optimized Zn2GeS3 structure.

Output
- mass density (Mg/m³) = 3.663
- space group = P3m1, No. 156
- uncorrected formation energy (kcal/mol of atoms) = -11.7

Unit cell a=3.853 b=3.853 c=10.564 alpha=90.00 beta=90.00 gamma=120.00
Fractional positions:
Zn 0.000 0.000 0.000
Zn 0.333 0.667 0.704
Ge 0.667 0.333 0.352
S 0.000 0.000 0.232
S 0.333 0.667 0.935
S 0.667 0.333 0.635



(4)
VASP calculation (PBE) on a geometry-optimized ZnGe3S structure.

Output
- mass density (Mg/m³) = 4.315
- space group = Pm-3m, No. 221
- uncorrected formation energy (kcal/mol of atoms) = 14.7
- D(E_F) (states/eV per cell) = 2.084

Unit cell a=4.951 b=4.951 c=4.951 alpha=90.00 beta=90.00 gamma=90.00
Fractional positions:
Zn 0.000 0.000 0.000
Ge 0.000 0.500 0.500
Ge 0.500 0.000 0.500
Ge 0.500 0.500 0.000
S 0.500 0.500 0.500



(5)
VASP calculation (PBE) on a geometry-optimized Zn2GeS structure.

Output
- mass density (Mg/m³) = 5.655
- space group = Fm-3m, No. 225
- uncorrected formation energy (kcal/mol of atoms) = 8.4
- D(E_F) (states/eV per cell) = 4.359

Unit cell a=4.607 b=4.607 c=4.607 alpha=60.00 beta=60.00 gamma=60.00
Fractional positions:
Zn 0.250 0.250 0.250
Zn 0.750 0.750 0.750
Ge 0.000 0.000 0.000
S 0.500 0.500 0.500



(6)
VASP calculation (PBE) on a geometry-optimized ZnGe3S structure.

Output
- mass density (Mg/m³) = 4.631
- space group = Pm-3m, No. 221
- uncorrected formation energy (kcal/mol of atoms) = 15.5
- D(E_F) (states/eV per cell) = 5.670

Unit cell a=4.836 b=4.836 c=4.836 alpha=90.00 beta=90.00 gamma=90.00
Fractional positions:
Zn 0.000 0.000 0.000
Ge 0.000 0.000 0.500
Ge 0.000 0.500 0.000
Ge 0.500 0.000 0.000
S 0.500 0.500 0.500



(7)
VASP calculation (PBE) on a geometry-optimized ZnGeS3 structure.

Output
- mass density (Mg/m³) = 3.292
- space group = C2/m, No. 12
- uncorrected formation energy (kcal/mol of atoms) = -9.7

Unit cell a=6.476 b=6.476 c=10.648 alpha=94.51 beta=94.51 gamma=32.08
Fractional positions:
Zn 0.154 0.154 0.394
Zn 0.846 0.846 0.606
Ge 0.419 0.419 0.239
Ge 0.581 0.581 0.761
S 0.141 0.141 0.878
S 0.347 0.347 0.427
S 0.402 0.402 0.744
S 0.598 0.598 0.256
S 0.653 0.653 0.573
S 0.859 0.859 0.122



(8)
VASP calculation (PBE) on a geometry-optimized ZnGeS3 structure.

Output
- mass density (Mg/m³) = 3.325
- space group = Cmc2_1, No. 36
- uncorrected formation energy (kcal/mol of atoms) = -10.0

Unit cell a=10.970 b=10.970 c=6.066 alpha=90.00 beta=90.00 gamma=161.31
Fractional positions:
Zn 0.193 0.807 0.500
Zn 0.807 0.193 0.000
Ge 0.378 0.622 0.493
Ge 0.622 0.378 0.993
S 0.066 0.934 0.876
S 0.288 0.712 0.297
S 0.370 0.630 0.856
S 0.630 0.370 0.356
S 0.712 0.288 0.797
S 0.934 0.066 0.376



(9)
VASP calculation (PBE) on a geometry-optimized Zn2GeS4 structure.

Output
- mass density (Mg/m³) = 2.943
- space group = P-42m, No. 111
- uncorrected formation energy (kcal/mol of atoms) = -11.1
- D(E_F) (states/eV per cell) = 0.000

Unit cell a=5.935 b=5.935 c=5.314 alpha=90.00 beta=90.00 gamma=90.00
Fractional positions:
Zn 0.000 0.500 0.000
Zn 0.500 0.000 0.000
Ge 0.000 0.000 0.000
S 0.227 0.227 0.221
S 0.227 0.773 0.779
S 0.773 0.227 0.779
S 0.773 0.773 0.221



(10)
VASP calculation (PBE) on a geometry-optimized ZnGeS3 structure.

Output
- mass density (Mg/m³) = 3.856
- space group = Pm-3m, No. 221
- uncorrected formation energy (kcal/mol of atoms) = 9.7
- D(E_F) (states/eV per cell) = 3.248

Unit cell a=4.655 b=4.655 c=4.655 alpha=90.00 beta=90.00 gamma=90.00
Fractional positions:
Zn 0.000 0.000 0.000
Ge 0.500 0.500 0.500
S 0.000 0.000 0.500
S 0.000 0.500 0.000
S 0.500 0.000 0.000



(11)
VASP calculation (PBE) on a geometry-optimized ZrGeS3 structure.

Output
- mass density (Mg/m³) = 4.355
- space group = Pm-3m, No. 221
- uncorrected formation energy (kcal/mol of atoms) = -0.1
- D(E_F) (states/eV per cell) = 3.531

Unit cell a=4.629 b=4.629 c=4.629 alpha=90.00 beta=90.00 gamma=90.00
Fractional positions:
Zr 0.000 0.000 0.000
Ge 0.500 0.500 0.500
S 0.000 0.500 0.500
S 0.500 0.000 0.500
S 0.500 0.500 0.000



(12)
VASP calculation (PBE) on a geometry-optimized ZrGeS2 structure.

Output
- mass density (Mg/m³) = 3.677
- space group = I-42d, No. 122
- uncorrected formation energy (kcal/mol of atoms) = -9.2
- D(E_F) (states/eV per cell) = 8.876

Unit cell a=6.880 b=6.880 c=6.880 alpha=125.99 beta=125.99 gamma=79.90
Fractional positions:
Zr 0.000 0.000 0.000
Zr 0.750 0.250 0.500
Ge 0.250 0.750 0.500
Ge 0.500 0.500 0.000
S 0.101 0.625 0.976
S 0.375 0.351 0.476
S 0.649 0.125 0.024
S 0.875 0.899 0.524



Q: Among the records above, which one has the highest uncorrected formation energy?
A: number 6